[1]
Entry from Alexandria: Ac7Bi2PbN2 after structural relaxation (PBE). Values from VASP.

Cell and atoms, written as Quantum ESPRESSO input:
```
&SYSTEM
  ibrav = 0, nat = 12, ntyp = 4
/
ATOMIC_SPECIES
Ac 227.00 Ac.upf
Bi 208.98 Bi.upf
Pb 207.20 Pb.upf
N 14.01 N.upf
ATOMIC_POSITIONS angstrom
Ac 0.000 0.000 0.000
Ac 1.876 1.871 2.597
Ac 0.004 0.000 5.433
Ac 1.902 1.871 11.529
Ac 1.876 -1.871 2.597
Ac 3.774 0.000 8.693
Ac 1.902 -1.871 11.529
Bi 0.029 0.000 8.982
Bi 3.748 0.000 5.144
Pb 3.744 0.000 0.000
N 0.004 0.000 2.846
N 3.773 0.000 11.280
CELL_PARAMETERS angstrom
3.744 -3.743 0.000
3.744 3.743 0.000
-3.711 0.000 14.126
```

## Properties
Space group   No. 12
Formation energy from raw total energies   -0.78 eV/atom


[2]
Entry from Alexandria: Ac4Bi2PbN2 after structural relaxation (PBE). Values from VASP.

Cell and atoms, written as Quantum ESPRESSO input:
```
&SYSTEM
  ibrav = 0, nat = 9, ntyp = 4
/
ATOMIC_SPECIES
Ac 227.00 Ac.upf
Bi 208.98 Bi.upf
Pb 207.20 Pb.upf
N 14.01 N.upf
ATOMIC_POSITIONS angstrom
Ac -0.089 0.000 2.802
Ac 2.951 0.000 5.360
Ac 13.049 0.000 2.087
Ac 16.088 0.000 4.646
Bi 6.632 0.000 1.658
Bi 9.368 0.000 5.790
Pb 9.692 0.000 0.000
N 2.222 0.000 2.925
N 13.778 0.000 4.523
CELL_PARAMETERS angstrom
9.692 -2.059 0.000
9.692 2.059 0.000
-3.384 0.000 7.448
```

## Properties
Space group   No. 12
Formation energy from raw total energies   -0.89 eV/atom


[3]
Entry from Alexandria: Ac4BiPbN after structural relaxation (PBE). Values from VASP.

Cell and atoms, written as Quantum ESPRESSO input:
```
&SYSTEM
  ibrav = 0, nat = 14, ntyp = 4
/
ATOMIC_SPECIES
Ac 227.00 Ac.upf
Bi 208.98 Bi.upf
Pb 207.20 Pb.upf
N 14.01 N.upf
ATOMIC_POSITIONS angstrom
Ac 1.809 4.600 0.000
Ac 1.809 4.600 3.646
Ac 3.619 7.810 5.469
Ac 3.619 1.524 5.469
Ac 1.809 -4.600 0.000
Ac 1.809 -4.600 3.646
Ac 3.619 -1.524 1.823
Ac 3.619 -7.810 1.823
Bi 3.619 7.149 1.823
Bi 3.619 -7.149 5.469
Pb 3.619 2.020 1.823
Pb 3.619 -2.020 5.469
N 3.619 4.036 5.469
N 3.619 -4.036 1.823
CELL_PARAMETERS angstrom
3.619 -9.199 0.000
3.619 9.199 0.000
0.000 0.000 7.292
```

## Properties
Space group   No. 63
Formation energy from raw total energies   -0.75 eV/atom


[4]
Entry from Alexandria: Ac3BiPdN after structural relaxation (PBE). Values from VASP.

Cell and atoms, written as Quantum ESPRESSO input:
```
&SYSTEM
  ibrav = 0, nat = 12, ntyp = 4
/
ATOMIC_SPECIES
Ac 227.00 Ac.upf
Bi 208.98 Bi.upf
Pd 106.42 Pd.upf
N 14.01 N.upf
ATOMIC_POSITIONS angstrom
Ac -0.116 1.119 3.412
Ac 0.930 1.119 9.686
Ac 2.206 3.358 6.528
Ac 4.998 1.119 3.354
Ac 6.273 3.358 0.195
Ac 7.320 3.358 6.470
Bi 2.368 3.358 2.713
Bi 4.836 1.119 7.169
Pd -0.061 1.119 6.418
Pd 7.265 3.358 3.464
N 1.865 3.358 8.858
N 5.339 1.119 1.023
CELL_PARAMETERS angstrom
9.516 0.000 0.000
0.000 4.478 0.000
-2.312 0.000 9.882
```

## Properties
Space group   No. 11
Formation energy from raw total energies   -0.89 eV/atom


[5]
Entry from Alexandria: Ac4Pm2Bi3N2 after structural relaxation (PBE). Values from VASP.

Cell and atoms, written as Quantum ESPRESSO input:
```
&SYSTEM
  ibrav = 0, nat = 11, ntyp = 4
/
ATOMIC_SPECIES
Ac 227.00 Ac.upf
Pm 145.00 Pm.upf
Bi 208.98 Bi.upf
N 14.01 N.upf
ATOMIC_POSITIONS angstrom
Ac 2.541 0.000 2.360
Ac 2.541 0.000 11.367
Ac 0.000 2.541 2.360
Ac 0.000 2.541 11.367
Pm 0.000 0.000 5.302
Pm 0.000 0.000 22.151
Bi 0.000 0.000 8.699
Bi 0.000 0.000 13.727
Bi 0.000 0.000 18.754
N 0.000 0.000 3.057
N 0.000 0.000 24.396
CELL_PARAMETERS angstrom
-2.541 2.541 13.727
2.541 -2.541 13.727
2.541 2.541 -13.727
```

## Properties
Space group   No. 139
Formation energy from raw total energies   -0.90 eV/atom


[6]
Entry from Alexandria: Ac4Pr2Bi3N2 after structural relaxation (PBE). Values from VASP.

Cell and atoms, written as Quantum ESPRESSO input:
```
&SYSTEM
  ibrav = 0, nat = 11, ntyp = 4
/
ATOMIC_SPECIES
Ac 227.00 Ac.upf
Pr 140.91 Pr.upf
Bi 208.98 Bi.upf
N 14.01 N.upf
ATOMIC_POSITIONS angstrom
Ac 2.544 0.000 2.362
Ac 2.544 0.000 11.474
Ac 0.000 2.544 2.362
Ac 0.000 2.544 11.474
Pr 0.000 0.000 5.347
Pr 0.000 0.000 22.325
Bi 0.000 0.000 8.801
Bi 0.000 0.000 13.836
Bi 0.000 0.000 18.872
N 0.000 0.000 3.045
N 0.000 0.000 24.627
CELL_PARAMETERS angstrom
-2.544 2.544 13.836
2.544 -2.544 13.836
2.544 2.544 -13.836
```

## Properties
Space group   No. 139
Formation energy from raw total energies   -0.91 eV/atom


[7]
Entry from Alexandria: AcPrBiN after structural relaxation (PBE). Values from VASP.

Cell and atoms, written as Quantum ESPRESSO input:
```
&SYSTEM
  ibrav = 0, nat = 8, ntyp = 4
/
ATOMIC_SPECIES
Ac 227.00 Ac.upf
Pr 140.91 Pr.upf
Bi 208.98 Bi.upf
N 14.01 N.upf
ATOMIC_POSITIONS angstrom
Ac 1.220 1.220 1.734
Ac 3.661 3.661 8.054
Pr 1.220 3.661 4.894
Pr 3.661 1.220 4.894
Bi 1.220 1.220 7.777
Bi 3.661 3.661 2.011
N 1.220 1.220 4.132
N 3.661 3.661 5.655
CELL_PARAMETERS angstrom
4.882 0.000 0.000
0.000 4.882 0.000
0.000 0.000 9.788
```

## Properties
Space group   No. 129
Formation energy from raw total energies   -1.14 eV/atom


[8]
Entry from Alexandria: Ac4Bi2PtN2 after structural relaxation (PBE). Values from VASP.

Cell and atoms, written as Quantum ESPRESSO input:
```
&SYSTEM
  ibrav = 0, nat = 9, ntyp = 4
/
ATOMIC_SPECIES
Ac 227.00 Ac.upf
Bi 208.98 Bi.upf
Pt 195.08 Pt.upf
N 14.01 N.upf
ATOMIC_POSITIONS angstrom
Ac -0.484 0.000 2.281
Ac 3.438 0.000 2.859
Ac 9.450 0.000 5.156
Ac 13.372 0.000 5.734
Bi 3.254 0.000 7.691
Bi 9.634 0.000 0.324
Pt 6.444 0.000 4.008
N 1.241 0.000 3.934
N 11.647 0.000 4.081
CELL_PARAMETERS angstrom
8.077 -2.234 0.000
8.077 2.234 0.000
-3.266 0.000 8.015
```

## Properties
Space group   No. 12
Formation energy from raw total energies   -0.99 eV/atom


[9]
Entry from Alexandria: Ac4Bi2RhN2 after structural relaxation (PBE). Values from VASP.

Cell and atoms, written as Quantum ESPRESSO input:
```
&SYSTEM
  ibrav = 0, nat = 9, ntyp = 4
/
ATOMIC_SPECIES
Ac 227.00 Ac.upf
Bi 208.98 Bi.upf
Rh 102.91 Rh.upf
N 14.01 N.upf
ATOMIC_POSITIONS angstrom
Ac -0.536 0.000 2.494
Ac 3.471 0.000 3.002
Ac 9.453 0.000 5.296
Ac 13.460 0.000 5.804
Bi 3.297 0.000 7.973
Bi 9.627 0.000 0.324
Rh 6.462 0.000 4.149
N 1.263 0.000 4.050
N 11.661 0.000 4.248
CELL_PARAMETERS angstrom
8.135 -2.174 0.000
8.135 2.174 0.000
-3.346 0.000 8.298
```

## Properties
Space group   No. 12
Formation energy from raw total energies   -0.83 eV/atom


[10]
Entry from Alexandria: Ac4Bi2SbN2 after structural relaxation (PBE). Values from VASP.

Cell and atoms, written as Quantum ESPRESSO input:
```
&SYSTEM
  ibrav = 0, nat = 9, ntyp = 4
/
ATOMIC_SPECIES
Ac 227.00 Ac.upf
Bi 208.98 Bi.upf
Sb 121.76 Sb.upf
N 14.01 N.upf
ATOMIC_POSITIONS angstrom
Ac -0.028 0.000 2.562
Ac 2.980 0.000 5.200
Ac 12.824 0.000 2.006
Ac 15.832 0.000 4.643
Bi 6.524 0.000 1.652
Bi 9.280 0.000 5.553
Sb 9.455 0.000 0.000
N 2.285 0.000 2.773
N 13.519 0.000 4.432
CELL_PARAMETERS angstrom
9.455 -2.154 0.000
9.455 2.154 0.000
-3.106 0.000 7.206
```

## Properties
Space group   No. 12
Formation energy from raw total energies   -0.99 eV/atom


[11]
Entry from Alexandria: Ac4BiSe2N2 after structural relaxation (PBE). Values from VASP.

Cell and atoms, written as Quantum ESPRESSO input:
```
&SYSTEM
  ibrav = 0, nat = 9, ntyp = 4
/
ATOMIC_SPECIES
Ac 227.00 Ac.upf
Bi 208.98 Bi.upf
Se 78.96 Se.upf
N 14.01 N.upf
ATOMIC_POSITIONS angstrom
Ac -1.063 0.000 2.720
Ac 1.523 0.000 5.720
Ac 11.321 0.000 2.682
Ac 13.906 0.000 5.682
Bi 8.768 0.000 0.000
Se 5.157 0.000 2.946
Se 7.687 0.000 5.456
N 1.219 0.000 3.274
N 11.625 0.000 5.128
CELL_PARAMETERS angstrom
8.768 -2.046 0.000
8.768 2.046 0.000
-4.691 0.000 8.402
```

## Properties
Space group   No. 12
Formation energy from raw total energies   -1.39 eV/atom


[12]
Entry from Alexandria: Ac3BiSeN after structural relaxation (PBE). Values from VASP.

Cell and atoms, written as Quantum ESPRESSO input:
```
&SYSTEM
  ibrav = 0, nat = 12, ntyp = 4
/
ATOMIC_SPECIES
Ac 227.00 Ac.upf
Bi 208.98 Bi.upf
Se 78.96 Se.upf
N 14.01 N.upf
ATOMIC_POSITIONS angstrom
Ac 0.054 1.124 3.210
Ac 1.167 1.124 9.608
Ac 2.434 3.373 6.442
Ac 5.029 1.124 3.359
Ac 6.295 3.373 0.193
Ac 7.408 3.373 6.591
Bi 2.474 3.373 2.729
Bi 4.989 1.124 7.072
Se 0.095 1.124 6.332
Se 7.367 3.373 3.469
N 2.075 3.373 8.776
N 5.387 1.124 1.025
CELL_PARAMETERS angstrom
9.562 0.000 0.000
0.000 4.498 0.000
-2.100 0.000 9.801
```

## Properties
Space group   No. 11
Formation energy from raw total energies   -1.30 eV/atom


| no. | DFT total energy (eV/atom) |
| --- | --- |
| 1 | -5.52 |
| 2 | -5.84 |
| 3 | -5.38 |
| 4 | -5.84 |
| 5 | -5.83 |
| 6 | -5.84 |
| 7 | -6.42 |
| 8 | -6.20 |
| 9 | -6.18 |
| 10 | -5.99 |
| 11 | -6.27 |
| 12 | -5.97 |